# 1
NaLaHoHg, optimized geometry, DFT PBE; space group = F-43m, No. 216; crystal system = cubic; density = 7532 kg/m³; DFT formation energy = -0.06 eV/atom; volume = 116.27 Å³/f.u.; total energy = -2.8420 eV per atom
1.0
-4.485 -2.581 -1.799
-2.482 -3.714 3.172
-4.881 1.119 2.222
Na La Hg Ho
1 1 1 1
direct
0.750 0.750 0.750
0.000 0.000 0.000
0.250 0.250 0.250
0.500 0.500 0.500


# 2
NaLaHo2Hg4, optimized geometry, DFT PBE; space group = R-3m, No. 166; crystal system = trigonal; density = 10189 kg/m³; DFT formation energy = -0.40 eV/atom; volume = 210.90 Å³/f.u.; total energy = -2.4769 eV per atom
1.0
5.228 0.000 0.000
2.614 4.527 0.000
2.614 1.509 8.911
Na La Ho Hg
1 1 2 4
direct
0.500 0.500 0.500
0.000 0.000 0.000
0.756 0.756 0.731
0.244 0.244 0.269
0.382 0.382 0.854
0.874 0.874 0.378
0.126 0.126 0.622
0.618 0.618 0.146


# 3
LaNdHoHg, optimized geometry, DFT PBE; space group = P4mm, No. 99; crystal system = tetragonal; density = 8735 kg/m³; energy relative to the lowest polymorph listed for this composition = 0 meV per atom; DFT formation energy = -0.23 eV/atom; volume = 123.31 Å³/f.u.; total energy = -3.8733 eV per atom
1.0
3.721 0.000 0.000
0.000 3.721 0.000
0.000 0.000 8.907
La Nd Ho Hg
1 1 1 1
direct
0.000 0.000 0.080
0.500 0.500 0.790
0.500 0.500 0.359
0.000 0.000 0.556


# 4
La2NdHoHg2, optimized geometry, DFT PBE; space group = Pmc2_1, No. 26; crystal system = orthorhombic; density = 8892 kg/m³; DFT formation energy = -0.34 eV/atom; volume = 184.54 Å³/f.u.; total energy = -3.6369 eV per atom
1.0
5.198 0.000 0.000
0.000 7.340 0.000
0.000 0.000 9.674
La Nd Ho Hg
4 2 2 4
direct
0.500 0.021 0.058
0.000 0.335 0.171
0.500 0.521 0.942
0.000 0.835 0.829
0.000 0.994 0.443
0.000 0.494 0.557
0.500 0.174 0.674
0.500 0.674 0.326
0.000 0.267 0.840
0.500 0.255 0.365
0.000 0.767 0.160
0.500 0.755 0.635


# 5
LaNdHoHg, optimized geometry, DFT PBE; space group = F-43m, No. 216; crystal system = cubic; density = 8825 kg/m³; energy relative to the lowest polymorph listed for this composition = 141 meV per atom; DFT formation energy = -0.09 eV/atom; volume = 122.06 Å³/f.u.; total energy = -3.7324 eV per atom
1.0
5.568 0.000 0.000
2.784 4.822 0.000
2.784 1.607 4.546
La Nd Hg Ho
1 1 1 1
direct
0.250 0.250 0.250
0.750 0.750 0.750
0.500 0.500 0.500
0.000 0.000 0.000


# 6
LaHoHgPb, optimized geometry, DFT PBE; space group = F-43m, No. 216; crystal system = cubic; density = 10252 kg/m³; DFT formation energy = -0.49 eV/atom; volume = 115.26 Å³/f.u.; total energy = -3.8673 eV per atom
1.0
5.463 0.000 0.000
2.731 4.731 0.000
2.731 1.577 4.460
Pb La Hg Ho
1 1 1 1
direct
0.000 0.000 0.000
0.250 0.250 0.250
0.500 0.500 0.500
0.750 0.750 0.750


# 7
LaHo2Hg2Pb2, optimized geometry, DFT PBE; space group = R-3m, No. 166; crystal system = trigonal; density = 10491 kg/m³; DFT formation energy = -0.27 eV/atom; volume = 203.29 Å³/f.u.; total energy = -3.4291 eV per atom
1.0
5.109 0.000 0.000
2.554 4.424 0.000
2.554 1.475 8.994
La Ho Hg Pb
1 2 2 2
direct
0.000 0.000 0.000
0.132 0.132 0.603
0.868 0.868 0.397
0.562 0.562 0.314
0.438 0.438 0.686
0.732 0.732 0.804
0.268 0.268 0.196


# 8
LaPmHoHg, optimized geometry, DFT PBE; space group = P4mm, No. 99; crystal system = tetragonal; density = 8800 kg/m³; energy relative to the lowest polymorph listed for this composition = 0 meV per atom; DFT formation energy = -0.23 eV/atom; volume = 122.55 Å³/f.u.; total energy = -3.8684 eV per atom
1.0
-1.088 2.855 2.100
0.833 -1.930 3.055
8.283 3.289 -0.180
La Pm Ho Hg
1 1 1 1
direct
0.000 0.000 0.078
0.500 0.500 0.789
0.500 0.500 0.359
0.000 0.000 0.559


Which of these has the lowest density?
NaLaHoHg


Among the records above, which one has the lowest volume?
LaHoHgPb


What is the DFT formation energy in the first record?
-0.06 eV/atom